(1)
The following is a PBE calculation of a relaxed structure of Li2AcAg4, from Alexandria via LeMat-Bulk.

Cell and atoms, written as CIF:
```
data_Li2AcAg4
_chemical_formula_sum 'Li4 Ac2 Ag8'
_cell_length_a 3.7571
_cell_length_b 4.6501
_cell_length_c 18.4105
_cell_angle_alpha 90.00
_cell_angle_beta 90.00
_cell_angle_gamma 90.00
_space_group_name_H-M_alt 'I m m m'
_space_group_IT_number 71
_space_group_name_Hall '-I 2 2'
loop_
_atom_site_label
_atom_site_type_symbol
_atom_site_fract_x
_atom_site_fract_y
_atom_site_fract_z
Li1 Li 0.0000 0.0000 0.1898
Ac1 Ac 0.0000 0.5000 0.0000
Ag1 Ag 0.0000 0.0000 0.3369
Ag2 Ag 0.0000 0.5000 0.4213
```

Properties
**Distance to the lowest polymorph of the same formula**: 0 meV per atom
**Energy of formation from the pure elements**: -137 meV per atom

(2)
The following is a PBE calculation of a relaxed structure of Y2NiCl, from Alexandria via LeMat-Bulk.

Cell and atoms, written as CIF:
```
data_Y2NiCl
_chemical_formula_sum 'Y4 Ni2 Cl2'
_cell_length_a 4.2092
_cell_length_b 3.6299
_cell_length_c 11.4825
_cell_angle_alpha 90.00
_cell_angle_beta 90.00
_cell_angle_gamma 90.00
_space_group_name_H-M_alt 'A m m 2'
_space_group_IT_number 38
loop_
_space_group_symop_operation_xyz
'x,y,z'
'-x,-y,z'
'-x,y,z'
'x,-y,z'
'x,y+1/2,z+1/2'
'-x,-y+1/2,z+1/2'
'-x,y+1/2,z+1/2'
'x,-y+1/2,z+1/2'
loop_
_atom_site_label
_atom_site_type_symbol
_atom_site_fract_x
_atom_site_fract_y
_atom_site_fract_z
Y1 Y 0.0000 0.0000 0.0000
Y2 Y 0.5000 0.0000 0.2665
Ni1 Ni 0.5000 0.0000 0.5140
Cl1 Cl 0.0000 0.0000 0.7540
```

Properties
**Formation energy without anion corrections**: -2.70 eV/f.u.
**Distance to the lowest polymorph of the same formula**: 236 meV per atom

Number 1: V 321.65 Å³ per cell. Number 2: V 175.44 Å³ per cell.